Compound: ZrFeNO2
Source: Alexandria
Functional: GGA+U
Structure: optimized geometry

Lattice parameters (Å, degrees): 4.116 4.116 4.240 90.00 90.00 90.00
Space group P4/mmm (No. 123)
Symmetry-distinct sites (fractional):
1 Zr 0.000 0.000 0.000 x1
2 Fe 0.500 0.500 0.500 x1
3 N 0.000 0.000 0.500 x1
4 O 0.000 0.500 0.000 x2

Calculated values
- Uncorrected energy: -7.43 eV/atom
- M_tot: 4.31 Bohr magnetons per cell